Entry 1:
Compound: KH2I
Source: Alexandria via LeMat-Bulk
Functional: PBE
Structure: optimized geometry

Energy above the most stable polymorph in this dataset = 11 kJ/mol of formula units
Total energy = -3.0377 eV per atom
DOS(E_F) = 0.00 states/eV per cell

Unit cell a=4.3938 b=5.5663 c=8.9653 alpha=90.00 beta=104.15 gamma=90.00
Closest atoms and distances in Å follow each position.
Fractional coordinates of all 8 atoms:
K1 0.0869 0.2500 0.1738  4 H 3.21, 4 I 3.55
K2 0.9131 0.7500 0.8262  4 H 3.21, 4 I 3.55
H1 0.2791 0.6821 0.5606  1 H 0.76
H2 0.2791 0.8179 0.5606  1 H 0.76
H3 0.7209 0.1821 0.4394  1 H 0.76
H4 0.7209 0.3179 0.4394  1 H 0.76
I1 0.4057 0.2500 0.8112  2 H 3.25, 4 K 3.55
I2 0.5943 0.7500 0.1888  2 H 3.25, 4 K 3.55


Entry 2:
Compound: Tb2CeDySe6
Source: Alexandria via LeMat-Bulk
Functional: PBE
Structure: optimized geometry

Formation energy from raw total energies = -1.82 eV per atom
Total energy = -5.8938 eV per atom
DOS(E_F) = 5.05 states/eV per cell

Unit cell a=7.7708 b=7.7708 c=7.7708 alpha=56.09 beta=56.09 gamma=56.09
Closest atoms and distances in Å follow each position.
Fractional coordinates of all 10 atoms:
Tb1 0.0000 0.0000 0.0000  6 Se 2.86-2.92
Tb2 0.4971 0.4971 0.4971  6 Se 2.85-2.92
Ce1 0.2981 0.2981 0.2981  6 Se 2.94-3.02
Dy1 0.8021 0.8021 0.8021  6 Se 2.86-2.91
Se1 0.0946 0.4009 0.7085  1 Dy 2.86, 2 Tb 2.86-2.92, 1 Ce 3.02
Se2 0.2060 0.8847 0.6112  2 Tb 2.85-2.92, 1 Dy 2.91, 1 Ce 2.94
Se3 0.4009 0.7085 0.0946  1 Dy 2.86, 2 Tb 2.86-2.92, 1 Ce 3.02
Se4 0.6112 0.2060 0.8847  2 Tb 2.85-2.92, 1 Dy 2.91, 1 Ce 2.94
Se5 0.7084 0.0946 0.4009  1 Dy 2.86, 2 Tb 2.86-2.92, 1 Ce 3.02
Se6 0.8847 0.6112 0.2060  2 Tb 2.85-2.92, 1 Dy 2.91, 1 Ce 2.94